No. 1
The following is a PBE calculation of a geometry-optimized Li2GaCoP structure, from Alexandria via LeMat-Bulk.

Computed properties:
- DFT formation energy: -17 meV per atom
- Electronic total energy: -3.8910 eV per atom
- SG: P4/mmm

```
data_Li2GaCoP
_chemical_formula_sum 'Li2 Ga1 Co1 P1'
_cell_length_a 4.670
_cell_length_b 4.670
_cell_length_c 4.090
_cell_angle_alpha 90.00
_cell_angle_beta 90.00
_cell_angle_gamma 90.00
_space_group_name_H-M_alt 'P 1'
_space_group_IT_number 1
_space_group_name_Hall 'P 1'
loop_
_atom_site_label
_atom_site_fract_x
_atom_site_fract_y
_atom_site_fract_z
_atom_site_occupancy
Li1 0.000 0.500 0.000 1
Li2 0.500 0.000 0.000 1
Ga1 0.000 0.000 0.500 1
Co1 0.500 0.500 0.000 1
P1 0.500 0.500 0.500 1
```

=====

No. 2
The following is a PBE calculation of a geometry-optimized Li2GaCoP structure, from Alexandria via LeMat-Bulk.

Computed properties:
- DFT formation energy: 435 meV per atom
- Electronic total energy: -3.4386 eV per atom
- SG: P4/mmm

```
data_Li2GaCoP
_chemical_formula_sum 'Li2 Ga1 Co1 P1'
_cell_length_a 4.443
_cell_length_b 4.443
_cell_length_c 4.831
_cell_angle_alpha 90.00
_cell_angle_beta 90.00
_cell_angle_gamma 90.00
_space_group_name_H-M_alt 'P 1'
_space_group_IT_number 1
_space_group_name_Hall 'P 1'
loop_
_atom_site_label
_atom_site_fract_x
_atom_site_fract_y
_atom_site_fract_z
_atom_site_occupancy
Li1 0.000 0.500 0.000 1
Li2 0.500 0.000 0.000 1
Ga1 0.000 0.000 0.500 1
Co1 0.500 0.500 0.500 1
P1 0.000 0.000 0.000 1
```

=====

No. 3
The following is a PBE calculation of a geometry-optimized LiPm2Ga6Co structure, from Alexandria via LeMat-Bulk.

Computed properties:
- DFT formation energy: -302 meV per atom
- Electronic total energy: -3.9698 eV per atom
- SG: Immm

```
data_LiPm2Ga6Co
_chemical_formula_sum 'Li1 Pm2 Ga6 Co1'
_cell_length_a 6.476
_cell_length_b 6.476
_cell_length_c 6.476
_cell_angle_alpha 120.15
_cell_angle_beta 119.95
_cell_angle_gamma 89.92
_space_group_name_H-M_alt 'P 1'
_space_group_IT_number 1
_space_group_name_Hall 'P 1'
loop_
_atom_site_label
_atom_site_fract_x
_atom_site_fract_y
_atom_site_fract_z
_atom_site_occupancy
Li1 0.000 0.000 0.000 1
Pm1 0.250 0.750 0.500 1
Pm2 0.750 0.250 0.500 1
Ga1 0.247 0.247 0.000 1
Ga2 0.248 0.247 0.495 1
Ga3 0.248 0.753 0.000 1
Ga4 0.752 0.247 0.000 1
Ga5 0.752 0.753 0.505 1
Ga6 0.753 0.753 0.000 1
Co1 0.500 0.500 0.000 1
```

=====

No. 4
The following is a PBE calculation of a geometry-optimized LiPm2Ga5Co2 structure, from Alexandria via LeMat-Bulk.

Computed properties:
- DFT formation energy: -427 meV per atom
- Electronic total energy: -4.5029 eV per atom
- SG: P4/mbm

```
data_LiPm2Ga5Co2
_chemical_formula_sum 'Li2 Pm4 Ga10 Co4'
_cell_length_a 9.396
_cell_length_b 9.396
_cell_length_c 4.075
_cell_angle_alpha 90.00
_cell_angle_beta 90.00
_cell_angle_gamma 90.00
_space_group_name_H-M_alt 'P 1'
_space_group_IT_number 1
_space_group_name_Hall 'P 1'
loop_
_atom_site_label
_atom_site_fract_x
_atom_site_fract_y
_atom_site_fract_z
_atom_site_occupancy
Li1 0.000 0.000 0.000 1
Li2 0.500 0.500 0.000 1
Pm1 0.182 0.318 0.000 1
Pm2 0.318 0.818 0.000 1
Pm3 0.682 0.182 0.000 1
Pm4 0.818 0.682 0.000 1
Ga1 0.000 0.500 0.500 1
Ga2 0.063 0.783 0.500 1
Ga3 0.217 0.063 0.500 1
Ga4 0.283 0.563 0.500 1
Ga5 0.437 0.283 0.500 1
Ga6 0.500 0.000 0.500 1
Ga7 0.563 0.717 0.500 1
Ga8 0.717 0.437 0.500 1
Ga9 0.783 0.937 0.500 1
Ga10 0.937 0.217 0.500 1
Co1 0.114 0.614 0.000 1
Co2 0.386 0.114 0.000 1
Co3 0.614 0.886 0.000 1
Co4 0.886 0.386 0.000 1
```

=====

No. 5
The following is a PBE calculation of a geometry-optimized LiPrGaCo structure, from Alexandria via LeMat-Bulk.

Computed properties:
- DFT formation energy: -136 meV per atom
- Electronic total energy: -4.3429 eV per atom
- SG: F-43m

```
data_LiPrGaCo
_chemical_formula_sum 'Li1 Pr1 Ga1 Co1'
_cell_length_a 4.626
_cell_length_b 4.626
_cell_length_c 4.626
_cell_angle_alpha 60.00
_cell_angle_beta 60.00
_cell_angle_gamma 60.00
_space_group_name_H-M_alt 'P 1'
_space_group_IT_number 1
_space_group_name_Hall 'P 1'
loop_
_atom_site_label
_atom_site_fract_x
_atom_site_fract_y
_atom_site_fract_z
_atom_site_occupancy
Li1 0.000 0.000 0.000 1
Pr1 0.750 0.750 0.750 1
Ga1 0.250 0.250 0.250 1
Co1 0.500 0.500 0.500 1
```

=====

No. 6
The following is a PBE calculation of a geometry-optimized LiPuGaCo structure, from Alexandria via LeMat-Bulk.

Computed properties:
- DFT formation energy: -75 meV per atom
- Electronic total energy: -6.6699 eV per atom
- SG: F-43m

```
data_LiPuGaCo
_chemical_formula_sum 'Li1 Pu1 Ga1 Co1'
_cell_length_a 4.496
_cell_length_b 4.496
_cell_length_c 4.496
_cell_angle_alpha 60.00
_cell_angle_beta 60.00
_cell_angle_gamma 60.00
_space_group_name_H-M_alt 'P 1'
_space_group_IT_number 1
_space_group_name_Hall 'P 1'
loop_
_atom_site_label
_atom_site_fract_x
_atom_site_fract_y
_atom_site_fract_z
_atom_site_occupancy
Li1 0.000 0.000 0.000 1
Pu1 0.750 0.750 0.750 1
Ga1 0.250 0.250 0.250 1
Co1 0.500 0.500 0.500 1
```

=====

No. 7
The following is a PBE calculation of a geometry-optimized LiGaCo2S structure, from Alexandria via LeMat-Bulk.

Computed properties:
- Electronic total energy: -3.9182 eV per atom
- SG: P4/mmm
- Formation energy from raw total energies: 356 kJ/mol of formula units

```
data_LiGaCo2S
_chemical_formula_sum 'Li1 Ga1 Co2 S1'
_cell_length_a 4.464
_cell_length_b 4.464
_cell_length_c 4.919
_cell_angle_alpha 90.00
_cell_angle_beta 90.00
_cell_angle_gamma 90.00
_space_group_name_H-M_alt 'P 1'
_space_group_IT_number 1
_space_group_name_Hall 'P 1'
loop_
_atom_site_label
_atom_site_fract_x
_atom_site_fract_y
_atom_site_fract_z
_atom_site_occupancy
Li1 0.000 0.000 0.000 1
Ga1 0.500 0.500 0.500 1
Co1 0.000 0.500 0.500 1
Co2 0.500 0.000 0.500 1
S1 0.500 0.500 0.000 1
```

=====

No. 8
The following is a PBE calculation of a geometry-optimized LiTbGaCo structure, from Alexandria via LeMat-Bulk.

Computed properties:
- DFT formation energy: -226 meV per atom
- Electronic total energy: -4.3947 eV per atom
- SG: F-43m

```
data_LiTbGaCo
_chemical_formula_sum 'Li1 Tb1 Ga1 Co1'
_cell_length_a 4.512
_cell_length_b 4.512
_cell_length_c 4.512
_cell_angle_alpha 60.00
_cell_angle_beta 60.00
_cell_angle_gamma 60.00
_space_group_name_H-M_alt 'P 1'
_space_group_IT_number 1
_space_group_name_Hall 'P 1'
loop_
_atom_site_label
_atom_site_fract_x
_atom_site_fract_y
_atom_site_fract_z
_atom_site_occupancy
Li1 0.000 0.000 0.000 1
Tb1 0.250 0.250 0.250 1
Ga1 0.750 0.750 0.750 1
Co1 0.500 0.500 0.500 1
```

=====

No. 9
The following is a PBE calculation of a geometry-optimized LiTb2Ga5Co2 structure, from Alexandria via LeMat-Bulk.

Computed properties:
- DFT formation energy: -465 meV per atom
- Electronic total energy: -4.5169 eV per atom
- SG: P4/mbm

```
data_LiTb2Ga5Co2
_chemical_formula_sum 'Li2 Tb4 Ga10 Co4'
_cell_length_a 9.258
_cell_length_b 9.258
_cell_length_c 4.031
_cell_angle_alpha 90.00
_cell_angle_beta 90.00
_cell_angle_gamma 90.00
_space_group_name_H-M_alt 'P 1'
_space_group_IT_number 1
_space_group_name_Hall 'P 1'
loop_
_atom_site_label
_atom_site_fract_x
_atom_site_fract_y
_atom_site_fract_z
_atom_site_occupancy
Li1 0.000 0.000 0.000 1
Li2 0.500 0.500 0.000 1
Tb1 0.181 0.319 0.000 1
Tb2 0.319 0.819 0.000 1
Tb3 0.681 0.181 0.000 1
Tb4 0.819 0.681 0.000 1
Ga1 0.000 0.500 0.500 1
Ga2 0.064 0.785 0.500 1
Ga3 0.215 0.064 0.500 1
Ga4 0.285 0.564 0.500 1
Ga5 0.436 0.285 0.500 1
Ga6 0.500 0.000 0.500 1
Ga7 0.564 0.715 0.500 1
Ga8 0.715 0.436 0.500 1
Ga9 0.785 0.936 0.500 1
Ga10 0.936 0.215 0.500 1
Co1 0.114 0.614 0.000 1
Co2 0.386 0.114 0.000 1
Co3 0.614 0.886 0.000 1
Co4 0.886 0.386 0.000 1
```

=====

No. 10
The following is a PBE calculation of a geometry-optimized LiTh2Ga6Co structure, from Alexandria via LeMat-Bulk.

Computed properties:
- DFT formation energy: -245 meV per atom
- Electronic total energy: -4.4470 eV per atom
- SG: Immm

```
data_LiTh2Ga6Co
_chemical_formula_sum 'Li1 Th2 Ga6 Co1'
_cell_length_a 6.489
_cell_length_b 6.489
_cell_length_c 6.489
_cell_angle_alpha 120.02
_cell_angle_beta 119.82
_cell_angle_gamma 90.14
_space_group_name_H-M_alt 'P 1'
_space_group_IT_number 1
_space_group_name_Hall 'P 1'
loop_
_atom_site_label
_atom_site_fract_x
_atom_site_fract_y
_atom_site_fract_z
_atom_site_occupancy
Li1 0.000 0.000 0.000 1
Th1 0.250 0.750 0.500 1
Th2 0.750 0.250 0.500 1
Ga1 0.247 0.247 0.000 1
Ga2 0.247 0.247 0.495 1
Ga3 0.247 0.753 0.000 1
Ga4 0.753 0.247 0.000 1
Ga5 0.753 0.753 0.000 1
Ga6 0.753 0.753 0.505 1
Co1 0.500 0.500 0.000 1
```

=====

No. 11
The following is a PBE calculation of a geometry-optimized LiTm2Ga6Co structure, from Alexandria via LeMat-Bulk.

Computed properties:
- DFT formation energy: -286 meV per atom
- Electronic total energy: -3.8982 eV per atom
- SG: C2/m

```
data_LiTm2Ga6Co
_chemical_formula_sum 'Li1 Tm2 Ga6 Co1'
_cell_length_a 6.300
_cell_length_b 6.300
_cell_length_c 7.281
_cell_angle_alpha 117.69
_cell_angle_beta 117.69
_cell_angle_gamma 52.46
_space_group_name_H-M_alt 'P 1'
_space_group_IT_number 1
_space_group_name_Hall 'P 1'
loop_
_atom_site_label
_atom_site_fract_x
_atom_site_fract_y
_atom_site_fract_z
_atom_site_occupancy
Li1 0.000 0.000 0.000 1
Tm1 0.164 0.164 0.748 1
Tm2 0.836 0.836 0.252 1
Ga1 0.159 0.621 0.652 1
Ga2 0.259 0.259 0.227 1
Ga3 0.379 0.841 0.348 1
Ga4 0.621 0.159 0.652 1
Ga5 0.741 0.741 0.773 1
Ga6 0.841 0.379 0.348 1
Co1 0.500 0.500 0.500 1
```

=====

No. 12
The following is a PBE calculation of a geometry-optimized LiUGa4Co2 structure, from Alexandria via LeMat-Bulk.

Computed properties:
- DFT formation energy: -100 meV per atom
- Electronic total energy: -5.0405 eV per atom
- SG: P4/mmm

```
data_LiUGa4Co2
_chemical_formula_sum 'Li1 U1 Ga4 Co2'
_cell_length_a 3.739
_cell_length_b 3.739
_cell_length_c 9.688
_cell_angle_alpha 90.00
_cell_angle_beta 90.00
_cell_angle_gamma 90.00
_space_group_name_H-M_alt 'P 1'
_space_group_IT_number 1
_space_group_name_Hall 'P 1'
loop_
_atom_site_label
_atom_site_fract_x
_atom_site_fract_y
_atom_site_fract_z
_atom_site_occupancy
Li1 0.000 0.000 0.000 1
U1 0.000 0.000 0.500 1
Ga1 0.000 0.500 0.210 1
Ga2 0.000 0.500 0.790 1
Ga3 0.500 0.000 0.210 1
Ga4 0.500 0.000 0.790 1
Co1 0.500 0.500 0.383 1
Co2 0.500 0.500 0.617 1
```